No. 1
## PuMnSi (PBE)

Data for a geometry-optimized PuMnSi structure.

Calculated values
**Formation energy from raw total energies**: -326 meV per atom
**Energy**: -9.968 eV per atom

Geometry as POSCAR:
```
PuMnSi
1.0
4.305 0.000 0.000
-2.152 3.728 0.000
0.000 0.000 3.386
Pu Mn Si
1 1 1
Direct
0.000 0.000 0.000
0.667 0.333 0.500
0.333 0.667 0.500
```

=====

No. 2
## PuMn2Si (PBE)

Data for a geometry-optimized PuMn2Si structure.

Calculated values
**Formation energy from raw total energies**: -213 meV per atom
**Energy**: -9.736 eV per atom

Geometry as POSCAR:
```
PuMn2Si
1.0
4.224 0.000 0.000
-2.112 3.658 0.000
0.000 0.000 12.245
Pu Mn Si
3 6 3
Direct
0.000 0.000 0.000
0.333 0.667 0.667
0.667 0.333 0.333
0.000 0.000 0.207
0.000 0.000 0.793
0.333 0.667 0.460
0.333 0.667 0.874
0.667 0.333 0.126
0.667 0.333 0.540
0.000 0.000 0.500
0.333 0.667 0.167
0.667 0.333 0.833
```

=====

No. 3
## PuMn2Si (PBE)

Data for a geometry-optimized PuMn2Si structure.

Calculated values
**Formation energy from raw total energies**: -238 meV per atom
**Energy**: -9.762 eV per atom

Geometry as POSCAR:
```
PuMn2Si
1.0
4.688 0.000 0.000
0.000 4.084 0.000
0.000 0.000 6.461
Pu Mn Si
2 4 2
Direct
0.250 0.000 0.169
0.750 0.000 0.831
0.000 0.500 0.500
0.250 0.000 0.617
0.500 0.500 0.500
0.750 0.000 0.383
0.250 0.500 0.829
0.750 0.500 0.171
```

=====

No. 4
## Pu4Mn4Si (PBE)

Data for a geometry-optimized Pu4Mn4Si structure.

Calculated values
**Formation energy from raw total energies**: 146 meV per atom
**Energy**: -10.901 eV per atom

Geometry as POSCAR:
```
Pu4Mn4Si
1.0
-3.911 3.911 2.089
3.911 -3.911 2.089
3.911 3.911 -2.089
Pu Mn Si
4 4 1
Direct
0.188 0.188 0.376
0.188 0.812 0.000
0.812 0.188 0.000
0.812 0.812 0.624
0.151 0.500 0.651
0.500 0.151 0.651
0.500 0.849 0.349
0.849 0.500 0.349
0.500 0.500 0.000
```

=====

No. 5
## Pu2Mn2Si (PBE)

Data for a geometry-optimized Pu2Mn2Si structure.

Calculated values
**Formation energy from raw total energies**: 249 meV per atom
**Energy**: -10.236 eV per atom

Geometry as POSCAR:
```
Pu2Mn2Si
1.0
5.457 0.000 0.000
0.000 5.457 0.000
0.000 0.000 10.026
Pu Mn Si
8 8 4
Direct
0.091 0.298 0.000
0.202 0.409 0.500
0.298 0.909 0.000
0.409 0.798 0.500
0.591 0.202 0.500
0.702 0.091 0.000
0.798 0.591 0.500
0.909 0.702 0.000
0.157 0.657 0.250
0.157 0.657 0.750
0.343 0.157 0.250
0.343 0.157 0.750
0.657 0.843 0.250
0.657 0.843 0.750
0.843 0.343 0.250
0.843 0.343 0.750
0.000 0.000 0.359
0.000 0.000 0.641
0.500 0.500 0.141
0.500 0.500 0.859
```

=====

No. 6
## Pu3Mn2Si9 (PBE)

Data for a geometry-optimized Pu3Mn2Si9 structure.

Calculated values
**Formation energy from raw total energies**: -437 meV per atom
**Energy**: -8.304 eV per atom

Geometry as POSCAR:
```
Pu3Mn2Si9
1.0
5.856 0.000 0.000
-2.928 5.071 0.000
0.000 0.000 14.808
Pu Mn Si
6 4 18
Direct
0.000 0.000 0.250
0.000 0.000 0.750
0.333 0.667 0.075
0.333 0.667 0.425
0.667 0.333 0.575
0.667 0.333 0.925
0.333 0.667 0.657
0.333 0.667 0.843
0.667 0.333 0.157
0.667 0.333 0.343
0.051 0.526 0.250
0.143 0.285 0.572
0.143 0.285 0.928
0.143 0.857 0.572
0.143 0.857 0.928
0.285 0.143 0.072
0.285 0.143 0.428
0.474 0.526 0.250
0.474 0.949 0.250
0.526 0.051 0.750
0.526 0.474 0.750
0.715 0.857 0.572
0.715 0.857 0.928
0.857 0.143 0.072
0.857 0.143 0.428
0.857 0.715 0.072
0.857 0.715 0.428
0.949 0.474 0.750
```